No. 1
# InSn2PbAu4, relaxed, DFT PBE
# Uncorrected energy = -3.56 eV/atom
# ΔE_f = -92 kJ/mol of formula units
# Calculated density = 12.000 g/cm³
data_InSn2PbAu4
_cell_length_a 5.8681
_cell_length_b 5.8681
_cell_length_c 7.1481
_cell_angle_alpha 119.42
_cell_angle_beta 119.42
_cell_angle_gamma 78.66
_space_group_name_H-M_alt 'P 1'
_space_group_IT_number 1
_space_group_name_Hall 'P 1'
loop_
_atom_site_label
_atom_site_type_symbol
_atom_site_fract_x
_atom_site_fract_y
_atom_site_fract_z
In1 In 0.5367 0.5367 0.0000
Sn1 Sn 0.1447 0.6447 0.5000
Sn2 Sn 0.6447 0.1447 0.5000
Pb1 Pb 0.9285 0.9285 0.0000
Au1 Au 0.0381 0.4205 0.0000
Au2 Au 0.4205 0.0381 0.0000
Au3 Au 0.1678 0.1678 0.5517
Au4 Au 0.6162 0.6162 0.4483

---

No. 2
# In2SnPbAu4, relaxed, DFT PBE
# Uncorrected energy = -3.40 eV/atom
# ΔE_f = -84 kJ/mol of formula units
# Calculated density = 11.473 g/cm³
data_In2SnPbAu4
_cell_length_a 5.7994
_cell_length_b 5.7994
_cell_length_c 6.9834
_cell_angle_alpha 111.61
_cell_angle_beta 111.61
_cell_angle_gamma 96.49
_space_group_name_H-M_alt 'P 1'
_space_group_IT_number 1
_space_group_name_Hall 'P 1'
loop_
_atom_site_label
_atom_site_type_symbol
_atom_site_fract_x
_atom_site_fract_y
_atom_site_fract_z
In1 In 0.1848 0.6848 0.5000
In2 In 0.6848 0.1848 0.5000
Sn1 Sn 0.4397 0.4397 0.0000
Pb1 Pb 0.9397 0.9397 0.0000
Au1 Au 0.9393 0.4395 0.0000
Au2 Au 0.4395 0.9393 0.0000
Au3 Au 0.1918 0.1918 0.5140
Au4 Au 0.6777 0.6777 0.4860

---

No. 3
# InSnPbAu, relaxed, DFT PBE
# Uncorrected energy = -3.46 eV/atom
# ΔE_f = -12 kJ/mol of formula units
# Calculated density = 10.197 g/cm³
data_InSnPbAu
_cell_length_a 3.4304
_cell_length_b 3.4304
_cell_length_c 8.8243
_cell_angle_alpha 89.99
_cell_angle_beta 90.01
_cell_angle_gamma 90.00
_space_group_name_H-M_alt 'P 1'
_space_group_IT_number 1
_space_group_name_Hall 'P 1'
loop_
_atom_site_label
_atom_site_type_symbol
_atom_site_fract_x
_atom_site_fract_y
_atom_site_fract_z
In1 In 0.1471 0.8529 0.7123
Sn1 Sn 0.6467 0.3533 0.4348
Pb1 Pb 0.6450 0.3550 0.0053
Au1 Au 0.1461 0.8539 0.2364

---

No. 4
# InSn2Pb2Au7, relaxed, DFT PBE
# Uncorrected energy = -3.49 eV/atom
# ΔE_f = -73 kJ/mol of formula units
# Calculated density = 12.718 g/cm³
data_InSn2Pb2Au7
_cell_length_a 4.2723
_cell_length_b 4.2723
_cell_length_c 15.3880
_cell_angle_alpha 87.18
_cell_angle_beta 87.18
_cell_angle_gamma 88.59
_space_group_name_H-M_alt 'P 1'
_space_group_IT_number 1
_space_group_name_Hall 'P 1'
loop_
_atom_site_label
_atom_site_type_symbol
_atom_site_fract_x
_atom_site_fract_y
_atom_site_fract_z
In1 In 0.0000 0.0000 0.0000
Sn1 Sn 0.5540 0.5540 0.7435
Sn2 Sn 0.4460 0.4460 0.2565
Pb1 Pb 0.8818 0.8818 0.3898
Pb2 Pb 0.1182 0.1182 0.6102
Au1 Au 0.5000 0.5000 0.0000
Au2 Au 0.3417 0.3417 0.4369
Au3 Au 0.6583 0.6583 0.5631
Au4 Au 0.9693 0.4723 0.1378
Au5 Au 0.4723 0.9693 0.1378
Au6 Au 0.5277 0.0307 0.8622
Au7 Au 0.0307 0.5277 0.8622

---

No. 5
# In2SnPb2Au7, relaxed, DFT PBE
# Uncorrected energy = -3.37 eV/atom
# ΔE_f = -59 kJ/mol of formula units
# Calculated density = 12.793 g/cm³
data_In2SnPb2Au7
_cell_length_a 4.2549
_cell_length_b 4.2549
_cell_length_c 15.4681
_cell_angle_alpha 86.27
_cell_angle_beta 86.27
_cell_angle_gamma 85.22
_space_group_name_H-M_alt 'P 1'
_space_group_IT_number 1
_space_group_name_Hall 'P 1'
loop_
_atom_site_label
_atom_site_type_symbol
_atom_site_fract_x
_atom_site_fract_y
_atom_site_fract_z
In1 In 0.5660 0.5660 0.7362
In2 In 0.4340 0.4340 0.2638
Sn1 Sn 0.0000 0.0000 0.0000
Pb1 Pb 0.8945 0.8945 0.3842
Pb2 Pb 0.1055 0.1055 0.6158
Au1 Au 0.5000 0.5000 0.0000
Au2 Au 0.3369 0.3369 0.4430
Au3 Au 0.6631 0.6631 0.5569
Au4 Au 0.9616 0.4629 0.1432
Au5 Au 0.4629 0.9616 0.1432
Au6 Au 0.5371 0.0384 0.8568
Au7 Au 0.0384 0.5371 0.8568

---

No. 6
# Sr2In3PbAu4, relaxed, DFT PBE
# Uncorrected energy = -3.33 eV/atom
# ΔE_f = -469 kJ/mol of formula units
# Calculated density = 9.491 g/cm³
data_Sr2In3PbAu4
_cell_length_a 4.8047
_cell_length_b 4.8047
_cell_length_c 11.4799
_cell_angle_alpha 90.00
_cell_angle_beta 90.00
_cell_angle_gamma 90.00
_space_group_name_H-M_alt 'P 1'
_space_group_IT_number 1
_space_group_name_Hall 'P 1'
loop_
_atom_site_label
_atom_site_type_symbol
_atom_site_fract_x
_atom_site_fract_y
_atom_site_fract_z
Sr1 Sr 0.5000 0.0000 0.2367
Sr2 Sr 0.0000 0.5000 0.7633
In1 In 0.0000 0.0000 0.5000
In2 In 0.5000 0.0000 0.8797
In3 In 0.0000 0.5000 0.1203
Pb1 Pb 0.5000 0.5000 0.5000
Au1 Au 0.5000 0.5000 0.0000
Au2 Au 0.0000 0.0000 0.0000
Au3 Au 0.5000 0.0000 0.6443
Au4 Au 0.0000 0.5000 0.3557

---

No. 7
# Sr2In4PbAu3, relaxed, DFT PBE
# Uncorrected energy = -3.23 eV/atom
# ΔE_f = -430 kJ/mol of formula units
# Calculated density = 8.790 g/cm³
data_Sr2In4PbAu3
_cell_length_a 4.7300
_cell_length_b 4.7300
_cell_length_c 12.0967
_cell_angle_alpha 90.00
_cell_angle_beta 90.00
_cell_angle_gamma 90.00
_space_group_name_H-M_alt 'P 1'
_space_group_IT_number 1
_space_group_name_Hall 'P 1'
loop_
_atom_site_label
_atom_site_type_symbol
_atom_site_fract_x
_atom_site_fract_y
_atom_site_fract_z
Sr1 Sr 0.5000 0.0000 0.2416
Sr2 Sr 0.0000 0.5000 0.7584
In1 In 0.5000 0.5000 0.0000
In2 In 0.0000 0.0000 0.0000
In3 In 0.5000 0.0000 0.6464
In4 In 0.0000 0.5000 0.3536
Pb1 Pb 0.5000 0.5000 0.5000
Au1 Au 0.0000 0.0000 0.5000
Au2 Au 0.5000 0.0000 0.8704
Au3 Au 0.0000 0.5000 0.1296

---

No. 8
# TaIn2PbAu, relaxed, DFT PBE
# Uncorrected energy = -3.39 eV/atom
# ΔE_f = 710 kJ/mol of formula units
# Calculated density = 7.588 g/cm³
data_TaIn2PbAu
_cell_length_a 5.7013
_cell_length_b 5.4852
_cell_length_c 5.7013
_cell_angle_alpha 90.00
_cell_angle_beta 90.00
_cell_angle_gamma 90.00
_space_group_name_H-M_alt 'P 1'
_space_group_IT_number 1
_space_group_name_Hall 'P 1'
loop_
_atom_site_label
_atom_site_type_symbol
_atom_site_fract_x
_atom_site_fract_y
_atom_site_fract_z
Pb1 Pb 0.0000 0.0000 0.0000
In1 In 0.0000 0.0000 0.5000
In2 In 0.5000 0.0000 0.0000
Au1 Au 0.5000 0.5000 0.5000
Ta1 Ta 0.0000 0.5000 0.0000

---

No. 9
# TbInPbAu, relaxed, DFT PBE
# Uncorrected energy = -3.89 eV/atom
# ΔE_f = -117 kJ/mol of formula units
# Calculated density = 11.071 g/cm³
data_TbInPbAu
_cell_length_a 5.2391
_cell_length_b 5.2391
_cell_length_c 5.2391
_cell_angle_alpha 60.00
_cell_angle_beta 60.00
_cell_angle_gamma 60.00
_space_group_name_H-M_alt 'P 1'
_space_group_IT_number 1
_space_group_name_Hall 'P 1'
loop_
_atom_site_label
_atom_site_type_symbol
_atom_site_fract_x
_atom_site_fract_y
_atom_site_fract_z
Pb1 Pb 0.2500 0.2500 0.2500
Tb1 Tb 0.7500 0.7500 0.7500
Au1 Au 0.0000 0.0000 0.0000
In1 In 0.5000 0.5000 0.5000

---

No. 10
# InTc2PbAu, relaxed, DFT PBE
# Uncorrected energy = -4.36 eV/atom
# ΔE_f = 833 kJ/mol of formula units
# Calculated density = 8.532 g/cm³
data_InTc2PbAu
_cell_length_a 5.1715
_cell_length_b 5.2030
_cell_length_c 5.1715
_cell_angle_alpha 90.00
_cell_angle_beta 90.00
_cell_angle_gamma 90.00
_space_group_name_H-M_alt 'P 1'
_space_group_IT_number 1
_space_group_name_Hall 'P 1'
loop_
_atom_site_label
_atom_site_type_symbol
_atom_site_fract_x
_atom_site_fract_y
_atom_site_fract_z
Pb1 Pb 0.0000 0.0000 0.0000
Au1 Au 0.0000 0.5000 0.0000
Tc1 Tc 0.0000 0.0000 0.5000
Tc2 Tc 0.5000 0.0000 0.0000
In1 In 0.5000 0.5000 0.5000

---

No. 11
# In2TePbAu, relaxed, DFT PBE
# Uncorrected energy = -2.74 eV/atom
# Calculated density = 7.069 g/cm³
# Energy relative to the elements, uncorrected = 0.381 eV per atom
data_In2TePbAu
_cell_length_a 5.8455
_cell_length_b 5.2344
_cell_length_c 5.8455
_cell_angle_alpha 90.00
_cell_angle_beta 90.00
_cell_angle_gamma 90.00
_space_group_name_H-M_alt 'P 1'
_space_group_IT_number 1
_space_group_name_Hall 'P 1'
loop_
_atom_site_label
_atom_site_type_symbol
_atom_site_fract_x
_atom_site_fract_y
_atom_site_fract_z
Pb1 Pb 0.0000 0.0000 0.0000
Te1 Te 0.5000 0.5000 0.5000
Au1 Au 0.0000 0.5000 0.0000
In1 In 0.0000 0.0000 0.5000
In2 In 0.5000 0.0000 0.0000

---

No. 12
# TlInPbAu, relaxed, DFT PBE
# Uncorrected energy = -2.96 eV/atom
# ΔE_f = 25 kJ/mol of formula units
# Calculated density = 11.380 g/cm³
# Energy above the most stable polymorph in this dataset = 0.096 eV/atom
data_TlInPbAu
_cell_length_a 5.3047
_cell_length_b 5.3047
_cell_length_c 5.3047
_cell_angle_alpha 60.00
_cell_angle_beta 60.00
_cell_angle_gamma 60.00
_space_group_name_H-M_alt 'P 1'
_space_group_IT_number 1
_space_group_name_Hall 'P 1'
loop_
_atom_site_label
_atom_site_type_symbol
_atom_site_fract_x
_atom_site_fract_y
_atom_site_fract_z
Pb1 Pb 0.7500 0.7500 0.7500
Tl1 Tl 0.5000 0.5000 0.5000
Au1 Au 0.0000 0.0000 0.0000
In1 In 0.2500 0.2500 0.2500

---

No. 13
# TlInPbAu, relaxed, DFT PBE
# Uncorrected energy = -3.05 eV/atom
# ΔE_f = -12 kJ/mol of formula units
# Calculated density = 11.297 g/cm³
# Energy above the most stable polymorph in this dataset = 0.000 eV/atom
data_TlInPbAu
_cell_length_a 3.4965
_cell_length_b 3.4965
_cell_length_c 8.6967
_cell_angle_alpha 90.00
_cell_angle_beta 90.00
_cell_angle_gamma 90.01
_space_group_name_H-M_alt 'P 1'
_space_group_IT_number 1
_space_group_name_Hall 'P 1'
loop_
_atom_site_label
_atom_site_type_symbol
_atom_site_fract_x
_atom_site_fract_y
_atom_site_fract_z
Tl1 Tl 0.6464 0.3536 0.0120
In1 In 0.6458 0.3542 0.4288
Pb1 Pb 0.1467 0.8533 0.6992
Au1 Au 0.1460 0.8540 0.2487

---

No. 14
# TlInPbAu2, relaxed, DFT PBE
# Uncorrected energy = -3.16 eV/atom
# ΔE_f = -41 kJ/mol of formula units
# Calculated density = 11.674 g/cm³
data_TlInPbAu2
_cell_length_a 3.9089
_cell_length_b 8.9083
_cell_length_c 7.9645
_cell_angle_alpha 90.21
_cell_angle_beta 75.79
_cell_angle_gamma 77.33
_space_group_name_H-M_alt 'P 1'
_space_group_IT_number 1
_space_group_name_Hall 'P 1'
loop_
_atom_site_label
_atom_site_type_symbol
_atom_site_fract_x
_atom_site_fract_y
_atom_site_fract_z
Tl1 Tl 0.8562 0.6687 0.6189
Tl2 Tl 0.1438 0.3313 0.3811
In1 In 0.0889 0.0288 0.7933
In2 In 0.9111 0.9712 0.2067
Pb1 Pb 0.3944 0.3851 0.8261
Pb2 Pb 0.6056 0.6149 0.1739
Au1 Au 0.3418 0.8749 0.4415
Au2 Au 0.6582 0.1251 0.5585
Au3 Au 0.8328 0.2633 0.0711
Au4 Au 0.1672 0.7367 0.9289

---

No. 15
# UInPbAu, relaxed, DFT PBE
# Uncorrected energy = -5.16 eV/atom
# ΔE_f = 36 kJ/mol of formula units
# Calculated density = 12.752 g/cm³
data_UInPbAu
_cell_length_a 5.1851
_cell_length_b 5.1851
_cell_length_c 5.1851
_cell_angle_alpha 60.00
_cell_angle_beta 60.00
_cell_angle_gamma 60.00
_space_group_name_H-M_alt 'P 1'
_space_group_IT_number 1
_space_group_name_Hall 'P 1'
loop_
_atom_site_label
_atom_site_type_symbol
_atom_site_fract_x
_atom_site_fract_y
_atom_site_fract_z
Pb1 Pb 0.7500 0.7500 0.7500
Au1 Au 0.2500 0.2500 0.2500
U1 U 0.0000 0.0000 0.0000
In1 In 0.5000 0.5000 0.5000

---

No. 16
# VIn2PbAu, relaxed, DFT PBE
# Uncorrected energy = -3.73 eV/atom
# ΔE_f = 282 kJ/mol of formula units
# Calculated density = 7.690 g/cm³
data_VIn2PbAu
_cell_length_a 5.2811
_cell_length_b 5.3013
_cell_length_c 5.2811
_cell_angle_alpha 90.00
_cell_angle_beta 90.00
_cell_angle_gamma 90.00
_space_group_name_H-M_alt 'P 1'
_space_group_IT_number 1
_space_group_name_Hall 'P 1'
loop_
_atom_site_label
_atom_site_type_symbol
_atom_site_fract_x
_atom_site_fract_y
_atom_site_fract_z
Pb1 Pb 0.0000 0.5000 0.0000
V1 V 0.0000 0.0000 0.0000
Au1 Au 0.5000 0.5000 0.5000
In1 In 0.0000 0.0000 0.5000
In2 In 0.5000 0.0000 0.0000

---

No. 17
# YInPbAu2, relaxed, DFT PBE
# Uncorrected energy = -3.52 eV/atom
# ΔE_f = 181 kJ/mol of formula units
# Calculated density = 8.197 g/cm³
data_YInPbAu2
_cell_length_a 5.2757
_cell_length_b 5.8584
_cell_length_c 5.2757
_cell_angle_alpha 90.00
_cell_angle_beta 90.00
_cell_angle_gamma 90.00
_space_group_name_H-M_alt 'P 1'
_space_group_IT_number 1
_space_group_name_Hall 'P 1'
loop_
_atom_site_label
_atom_site_type_symbol
_atom_site_fract_x
_atom_site_fract_y
_atom_site_fract_z
Pb1 Pb 0.0000 0.0000 0.0000
Y1 Y 0.0000 0.5000 0.0000
Au1 Au 0.0000 0.0000 0.5000
Au2 Au 0.5000 0.0000 0.0000
In1 In 0.5000 0.5000 0.5000

---

No. 18
# In2PdAu8, relaxed, DFT PBE
# Uncorrected energy = -3.38 eV/atom
# ΔE_f = -25 kJ/mol of formula units
# Calculated density = 14.122 g/cm³
# Energy above the most stable polymorph in this dataset = 0.065 eV/atom
data_In2PdAu8
_cell_length_a 4.0550
_cell_length_b 7.8790
_cell_length_c 8.3502
_cell_angle_alpha 61.85
_cell_angle_beta 82.02
_cell_angle_gamma 72.88
_space_group_name_H-M_alt 'P 1'
_space_group_IT_number 1
_space_group_name_Hall 'P 1'
loop_
_atom_site_label
_atom_site_type_symbol
_atom_site_fract_x
_atom_site_fract_y
_atom_site_fract_z
In1 In 0.0000 0.3218 0.3564
In2 In 0.0000 0.6782 0.6436
Pd1 Pd 0.5000 0.0000 0.0000
Au1 Au 0.8952 0.0896 0.2067
Au2 Au 0.8952 0.2963 0.7933
Au3 Au 0.3171 0.3715 0.0000
Au4 Au 0.5000 0.8036 0.3928
Au5 Au 0.5000 0.1964 0.6072
Au6 Au 0.6829 0.6285 0.0000
Au7 Au 0.1048 0.7037 0.2067
Au8 Au 0.1048 0.9104 0.7933

---

No. 19
# InPd2Au3, relaxed, DFT PBE
# Uncorrected energy = -3.98 eV/atom
# ΔE_f = -89 kJ/mol of formula units
# Calculated density = 14.171 g/cm³
# Energy above the most stable polymorph in this dataset = 0.083 eV/atom
data_InPd2Au3
_cell_length_a 5.4756
_cell_length_b 5.4756
_cell_length_c 7.3705
_cell_angle_alpha 81.83
_cell_angle_beta 81.83
_cell_angle_gamma 94.86
_space_group_name_H-M_alt 'P 1'
_space_group_IT_number 1
_space_group_name_Hall 'P 1'
loop_
_atom_site_label
_atom_site_type_symbol
_atom_site_fract_x
_atom_site_fract_y
_atom_site_fract_z
In1 In 0.9018 0.0982 0.2500
In2 In 0.0982 0.9018 0.7500
Pd1 Pd 0.1203 0.6325 0.1230
Pd2 Pd 0.3675 0.8797 0.3770
Pd3 Pd 0.8797 0.3675 0.8770
Pd4 Pd 0.6325 0.1203 0.6230
Au1 Au 0.8376 0.6710 0.4897
Au2 Au 0.3290 0.1624 0.0103
Au3 Au 0.1624 0.3290 0.5103
Au4 Au 0.6710 0.8376 0.9897
Au5 Au 0.5692 0.4308 0.2500
Au6 Au 0.4308 0.5692 0.7500

---

No. 20
# In3Pd2Au8, relaxed, DFT PBE
# Uncorrected energy = -3.43 eV/atom
# ΔE_f = 28 kJ/mol of formula units
# Calculated density = 13.323 g/cm³
data_In3Pd2Au8
_cell_length_a 5.4533
_cell_length_b 5.4533
_cell_length_c 10.7922
_cell_angle_alpha 75.37
_cell_angle_beta 75.37
_cell_angle_gamma 60.00
_space_group_name_H-M_alt 'P 1'
_space_group_IT_number 1
_space_group_name_Hall 'P 1'
loop_
_atom_site_label
_atom_site_type_symbol
_atom_site_fract_x
_atom_site_fract_y
_atom_site_fract_z
In1 In 0.0000 0.0000 0.0000
In2 In 0.8146 0.8146 0.5561
In3 In 0.1854 0.1854 0.4439
Pd1 Pd 0.6389 0.6389 0.0832
Pd2 Pd 0.3611 0.3611 0.9168
Au1 Au 0.7243 0.7243 0.8272
Au2 Au 0.2757 0.2757 0.1728
Au3 Au 0.2296 0.7285 0.3134
Au4 Au 0.7285 0.2296 0.3134
Au5 Au 0.7285 0.7285 0.3134
Au6 Au 0.2715 0.7704 0.6866
Au7 Au 0.7704 0.2715 0.6866
Au8 Au 0.2715 0.2715 0.6866